Model i:
Material: Pm3Pr3Nd
Method: DFT, PBE
State: relaxed

Geometry as CIF:
```
data_Pm3Pr3Nd
_chemical_formula_sum 'Pm6 Pr6 Nd2'
_cell_length_a 9.8468
_cell_length_b 9.8468
_cell_length_c 5.9516
_cell_angle_alpha 90.00
_cell_angle_beta 90.00
_cell_angle_gamma 120.00
_symmetry_space_group_name_H-M 'P 63/m'
_symmetry_Int_Tables_number 176
_symmetry_space_group_name_Hall '-P 6c'
loop_
_atom_site_label
_atom_site_fract_x
_atom_site_fract_y
_atom_site_fract_z
Pm1 0.0470 0.8108 0.2500
Pr1 0.0953 0.6206 0.7500
Nd1 0.3333 0.6667 0.2500
```

Model ii:
Material: Pm3Pr3Nd
Method: DFT, PBE
State: relaxed

Geometry as CIF:
```
data_Pm3Pr3Nd
_chemical_formula_sum 'Pm18 Pr18 Nd6'
_cell_length_a 8.8925
_cell_length_b 8.8925
_cell_length_c 22.4424
_cell_angle_alpha 90.00
_cell_angle_beta 90.00
_cell_angle_gamma 120.00
_symmetry_space_group_name_H-M 'R -3'
_symmetry_Int_Tables_number 148
_symmetry_space_group_name_Hall '-R 3'
loop_
_atom_site_label
_atom_site_fract_x
_atom_site_fract_y
_atom_site_fract_z
Pm1 0.0038 0.7675 0.0582
Pr1 0.0497 0.6021 0.8812
Nd1 0.0000 0.0000 0.3466
```

Stability ranking, top entry: model i; the second entry is 0.169 eV/atom less favorable.

Model i:
Material: PmPrNd4
Method: DFT, PBE
State: relaxed

Geometry as CIF:
```
data_PmPrNd4
_chemical_formula_sum 'Pm2 Pr2 Nd8'
_cell_length_a 6.386
_cell_length_b 11.058
_cell_length_c 6.376
_cell_angle_alpha 90.00
_cell_angle_beta 109.53
_cell_angle_gamma 90.00
_symmetry_space_group_name_H-M 'C 1 2/m 1'
_symmetry_Int_Tables_number 12
_symmetry_space_group_name_Hall '-C 2y'
loop_
_atom_site_label
_atom_site_fract_x
_atom_site_fract_y
_atom_site_fract_z
Pm1 0.000 0.000 0.000
Pr1 0.000 0.500 0.500
Nd1 0.000 0.166 0.500
Nd2 0.000 0.333 0.000
```

Model ii:
Material: PmPrNd4
Method: DFT, PBE
State: relaxed

Geometry as CIF:
```
data_PmPrNd4
_chemical_formula_sum 'Pm4 Pr4 Nd16'
_cell_length_a 9.538
_cell_length_b 9.538
_cell_length_c 9.538
_cell_angle_alpha 90.00
_cell_angle_beta 90.00
_cell_angle_gamma 90.00
_symmetry_space_group_name_H-M 'F -4 3 m'
_symmetry_Int_Tables_number 216
_symmetry_space_group_name_Hall 'F -4 2 3'
loop_
_atom_site_label
_atom_site_fract_x
_atom_site_fract_y
_atom_site_fract_z
Pm1 0.000 0.000 0.000
Pr1 0.250 0.250 0.250
Nd1 0.125 0.125 0.625
```

Stability ranking, top entry: model i; the second entry is 0.236 eV/atom less favorable.

Model i:
Material: PmPr3Nd7
Method: DFT, PBE
State: relaxed

Geometry as CIF:
```
data_PmPr3Nd7
_chemical_formula_sum 'Pm1 Pr3 Nd7'
_cell_length_a 7.3012
_cell_length_b 7.3012
_cell_length_c 8.8706
_cell_angle_alpha 90.00
_cell_angle_beta 90.00
_cell_angle_gamma 120.00
_symmetry_space_group_name_H-M 'P 3 m 1'
_symmetry_Int_Tables_number 156
_symmetry_space_group_name_Hall 'P 3 -2"'
loop_
_atom_site_label
_atom_site_fract_x
_atom_site_fract_y
_atom_site_fract_z
Pm1 0.0000 0.0000 0.0000
Pr1 0.1665 0.3331 0.6599
Nd1 0.0005 0.5002 0.9919
Nd2 0.3326 0.1663 0.3270
Nd3 0.3333 0.6667 0.3192
```

Model ii:
Material: PmPr3Nd7
Method: DFT, PBE
State: relaxed

Geometry as CIF:
```
data_PmPr3Nd7
_chemical_formula_sum 'Pm1 Pr3 Nd7'
_cell_length_a 11.2211
_cell_length_b 11.2211
_cell_length_c 3.6610
_cell_angle_alpha 90.00
_cell_angle_beta 90.00
_cell_angle_gamma 120.00
_symmetry_space_group_name_H-M 'P -6 m 2'
_symmetry_Int_Tables_number 187
_symmetry_space_group_name_Hall 'P -6 2'
loop_
_atom_site_label
_atom_site_fract_x
_atom_site_fract_y
_atom_site_fract_z
Pm1 0.0000 0.0000 0.0000
Pr1 0.2977 0.1489 0.5000
Nd1 0.1964 0.3928 0.0000
Nd2 0.5069 0.0138 0.5000
Nd3 0.6667 0.3333 0.0000
```

Stability ranking, top entry: model ii; the second entry is 0.020 eV/atom less favorable.

Model i:
Material: Pm3Pr5Nd3
Method: DFT, PBE
State: relaxed

Geometry as CIF:
```
data_Pm3Pr5Nd3
_chemical_formula_sum 'Pm3 Pr5 Nd3'
_cell_length_a 9.8723
_cell_length_b 9.8723
_cell_length_c 5.6301
_cell_angle_alpha 90.00
_cell_angle_beta 90.00
_cell_angle_gamma 120.00
_symmetry_space_group_name_H-M 'P -6 2 m'
_symmetry_Int_Tables_number 189
_symmetry_space_group_name_Hall 'P -6 -2'
loop_
_atom_site_label
_atom_site_fract_x
_atom_site_fract_y
_atom_site_fract_z
Pm1 0.0000 0.5228 0.0000
Pr1 0.0000 0.7312 0.5000
Pr2 0.3333 0.6667 0.5000
Nd1 0.0000 0.3614 0.5000
```

Model ii:
Material: Pm3Pr5Nd3
Method: DFT, PBE
State: relaxed

Geometry as CIF:
```
data_Pm3Pr5Nd3
_chemical_formula_sum 'Pm3 Pr5 Nd3'
_cell_length_a 11.5212
_cell_length_b 11.5212
_cell_length_c 3.5075
_cell_angle_alpha 90.00
_cell_angle_beta 90.00
_cell_angle_gamma 120.00
_symmetry_space_group_name_H-M 'P -6 2 m'
_symmetry_Int_Tables_number 189
_symmetry_space_group_name_Hall 'P -6 -2'
loop_
_atom_site_label
_atom_site_fract_x
_atom_site_fract_y
_atom_site_fract_z
Pm1 0.0000 0.8400 0.0000
Pr1 0.0000 0.3397 0.0000
Pr2 0.3333 0.6667 0.0000
Nd1 0.0000 0.5982 0.5000
```

Stability ranking, top entry: model ii; the second entry is 0.421 eV/atom less favorable.

Model i:
Material: Pm2Pr2Nd7
Method: DFT, PBE
State: relaxed

Geometry as CIF:
```
data_Pm2Pr2Nd7
_chemical_formula_sum 'Pm4 Pr4 Nd14'
_cell_length_a 10.166
_cell_length_b 9.612
_cell_length_c 8.420
_cell_angle_alpha 90.00
_cell_angle_beta 105.49
_cell_angle_gamma 90.00
_symmetry_space_group_name_H-M 'C 1 2/m 1'
_symmetry_Int_Tables_number 12
_symmetry_space_group_name_Hall '-C 2y'
loop_
_atom_site_label
_atom_site_fract_x
_atom_site_fract_y
_atom_site_fract_z
Pm1 0.000 0.200 0.000
Pr1 0.084 0.500 0.323
Nd1 0.000 0.000 0.500
Nd2 0.195 0.295 0.675
Nd3 0.213 0.500 0.020
```

Model ii:
Material: Pm2Pr2Nd7
Method: DFT, PBE
State: relaxed

Geometry as CIF:
```
data_Pm2Pr2Nd7
_chemical_formula_sum 'Pm8 Pr8 Nd28'
_cell_length_a 13.666
_cell_length_b 12.172
_cell_length_c 9.395
_cell_angle_alpha 90.00
_cell_angle_beta 95.74
_cell_angle_gamma 90.00
_symmetry_space_group_name_H-M 'C 1 2/c 1'
_symmetry_Int_Tables_number 15
_symmetry_space_group_name_Hall '-C 2yc'
loop_
_atom_site_label
_atom_site_fract_x
_atom_site_fract_y
_atom_site_fract_z
Pm1 0.132 0.167 0.298
Pr1 0.101 0.343 0.614
Nd1 0.000 0.424 0.250
Nd2 0.054 0.104 0.923
Nd3 0.169 0.361 0.993
Nd4 0.225 0.080 0.657
```

Stability ranking, top entry: model ii; the second entry is 0.096 eV/atom less favorable.

Model i:
Material: Pm3Pr2Nd2
Method: DFT, PBE
State: relaxed

Geometry as CIF:
```
data_Pm3Pr2Nd2
_chemical_formula_sum 'Pm6 Pr4 Nd4'
_cell_length_a 6.600
_cell_length_b 12.660
_cell_length_c 7.151
_cell_angle_alpha 90.00
_cell_angle_beta 122.79
_cell_angle_gamma 90.00
_symmetry_space_group_name_H-M 'P 1 21/c 1'
_symmetry_Int_Tables_number 14
_symmetry_space_group_name_Hall '-P 2ybc'
loop_
_atom_site_label
_atom_site_fract_x
_atom_site_fract_y
_atom_site_fract_z
Pm1 0.000 0.000 0.000
Pm2 0.412 0.113 0.563
Pr1 0.001 0.706 0.839
Nd1 0.413 0.614 0.350
```

Model ii:
Material: Pm3Pr2Nd2
Method: DFT, PBE
State: relaxed

Geometry as CIF:
```
data_Pm3Pr2Nd2
_chemical_formula_sum 'Pm6 Pr4 Nd4'
_cell_length_a 17.951
_cell_length_b 3.573
_cell_length_c 8.844
_cell_angle_alpha 90.00
_cell_angle_beta 118.96
_cell_angle_gamma 90.00
_symmetry_space_group_name_H-M 'C 1 2/m 1'
_symmetry_Int_Tables_number 12
_symmetry_space_group_name_Hall '-C 2y'
loop_
_atom_site_label
_atom_site_fract_x
_atom_site_fract_y
_atom_site_fract_z
Pm1 0.000 0.000 0.000
Pm2 0.213 0.000 0.301
Pr1 0.066 0.500 0.409
Nd1 0.148 0.000 0.836
```

Stability ranking, top entry: model ii; the second entry is 0.047 eV/atom less favorable.

Model i:
Material: Pm2Pr4Nd
Method: DFT, PBE
State: relaxed

Geometry as CIF:
```
data_Pm2Pr4Nd
_chemical_formula_sum 'Pm4 Pr8 Nd2'
_cell_length_a 3.623
_cell_length_b 5.960
_cell_length_c 23.374
_cell_angle_alpha 90.00
_cell_angle_beta 90.00
_cell_angle_gamma 90.00
_symmetry_space_group_name_H-M 'I m m m'
_symmetry_Int_Tables_number 71
_symmetry_space_group_name_Hall '-I 2 2'
loop_
_atom_site_label
_atom_site_fract_x
_atom_site_fract_y
_atom_site_fract_z
Pm1 0.000 0.000 0.224
Pr1 0.000 0.500 0.137
Pr2 0.000 0.500 0.416
Nd1 0.000 0.000 0.500
```

Model ii:
Material: Pm2Pr4Nd
Method: DFT, PBE
State: relaxed

Geometry as CIF:
```
data_Pm2Pr4Nd
_chemical_formula_sum 'Pm6 Pr12 Nd3'
_cell_length_a 5.8559
_cell_length_b 5.8559
_cell_length_c 25.1660
_cell_angle_alpha 90.00
_cell_angle_beta 90.00
_cell_angle_gamma 120.00
_symmetry_space_group_name_H-M 'R -3 m'
_symmetry_Int_Tables_number 166
_symmetry_space_group_name_Hall '-R 3 2"'
loop_
_atom_site_label
_atom_site_fract_x
_atom_site_fract_y
_atom_site_fract_z
Pm1 0.0000 0.0000 0.1362
Pr1 0.0000 0.0000 0.2712
Pr2 0.0000 0.0000 0.4171
Nd1 0.0000 0.0000 0.0000
```

Stability ranking, top entry: model i; the second entry is 0.029 eV/atom less favorable.

Model i:
Material: Pm5Pr4Nd2
Method: DFT, PBE
State: relaxed

Geometry as CIF:
```
data_Pm5Pr4Nd2
_chemical_formula_sum 'Pm10 Pr8 Nd4'
_cell_length_a 24.580
_cell_length_b 3.529
_cell_length_c 9.030
_cell_angle_alpha 90.00
_cell_angle_beta 96.70
_cell_angle_gamma 90.00
_symmetry_space_group_name_H-M 'C 1 2/m 1'
_symmetry_Int_Tables_number 12
_symmetry_space_group_name_Hall '-C 2y'
loop_
_atom_site_label
_atom_site_fract_x
_atom_site_fract_y
_atom_site_fract_z
Pm1 0.000 0.000 0.000
Pm2 0.141 0.500 0.114
Pm3 0.231 0.500 0.827
Pr1 0.046 0.500 0.361
Pr2 0.179 0.000 0.471
Nd1 0.090 0.500 0.735
```

Model ii:
Material: Pm5Pr4Nd2
Method: DFT, PBE
State: relaxed

Geometry as CIF:
```
data_Pm5Pr4Nd2
_chemical_formula_sum 'Pm10 Pr8 Nd4'
_cell_length_a 3.581
_cell_length_b 9.476
_cell_length_c 23.595
_cell_angle_alpha 90.00
_cell_angle_beta 90.00
_cell_angle_gamma 90.00
_symmetry_space_group_name_H-M 'I m m m'
_symmetry_Int_Tables_number 71
_symmetry_space_group_name_Hall '-I 2 2'
loop_
_atom_site_label
_atom_site_fract_x
_atom_site_fract_y
_atom_site_fract_z
Pm1 0.000 0.000 0.000
Pm2 0.000 0.303 0.353
Pr1 0.000 0.203 0.500
Pr2 0.000 0.500 0.096
Nd1 0.000 0.500 0.230
```

Stability ranking, top entry: model i; the second entry is 0.091 eV/atom less favorable.

Model i:
Material: PmPr6Nd8
Method: DFT, PBE
State: relaxed

Geometry as CIF:
```
data_PmPr6Nd8
_chemical_formula_sum 'Pm1 Pr6 Nd8'
_cell_length_a 9.6453
_cell_length_b 9.6453
_cell_length_c 6.7704
_cell_angle_alpha 90.00
_cell_angle_beta 90.00
_cell_angle_gamma 120.00
_symmetry_space_group_name_H-M 'P -3'
_symmetry_Int_Tables_number 147
_symmetry_space_group_name_Hall '-P 3'
loop_
_atom_site_label
_atom_site_fract_x
_atom_site_fract_y
_atom_site_fract_z
Pm1 0.0000 0.0000 0.0000
Pr1 0.0839 0.4306 0.8414
Nd1 0.0280 0.2831 0.3388
Nd2 0.3333 0.6667 0.3925
```

Model ii:
Material: PmPr6Nd8
Method: DFT, PBE
State: relaxed

Geometry as CIF:
```
data_PmPr6Nd8
_chemical_formula_sum 'Pm3 Pr18 Nd24'
_cell_length_a 9.5214
_cell_length_b 9.5214
_cell_length_c 20.6165
_cell_angle_alpha 90.00
_cell_angle_beta 90.00
_cell_angle_gamma 120.00
_symmetry_space_group_name_H-M 'R -3'
_symmetry_Int_Tables_number 148
_symmetry_space_group_name_Hall '-R 3'
loop_
_atom_site_label
_atom_site_fract_x
_atom_site_fract_y
_atom_site_fract_z
Pm1 0.0000 0.0000 0.0000
Pr1 0.0465 0.2476 0.6919
Nd1 0.0000 0.0000 0.4283
Nd2 0.0693 0.2459 0.1612
```

Stability ranking, top entry: model ii; the second entry is 0.022 eV/atom less favorable.

Model i:
Material: Pm4Pr6Nd
Method: DFT, PBE
State: relaxed

Geometry as CIF:
```
data_Pm4Pr6Nd
_chemical_formula_sum 'Pm8 Pr12 Nd2'
_cell_length_a 7.729
_cell_length_b 7.729
_cell_length_c 13.707
_cell_angle_alpha 90.00
_cell_angle_beta 90.00
_cell_angle_gamma 90.00
_symmetry_space_group_name_H-M 'I -4 2 m'
_symmetry_Int_Tables_number 121
_symmetry_space_group_name_Hall 'I -4 2'
loop_
_atom_site_label
_atom_site_fract_x
_atom_site_fract_y
_atom_site_fract_z
Pm1 0.169 0.169 0.420
Pr1 0.000 0.500 0.000
Pr2 0.228 0.228 0.188
Nd1 0.000 0.000 0.000
```

Model ii:
Material: Pm4Pr6Nd
Method: DFT, PBE
State: relaxed

Geometry as CIF:
```
data_Pm4Pr6Nd
_chemical_formula_sum 'Pm8 Pr12 Nd2'
_cell_length_a 6.692
_cell_length_b 6.692
_cell_length_c 17.863
_cell_angle_alpha 90.00
_cell_angle_beta 90.00
_cell_angle_gamma 90.00
_symmetry_space_group_name_H-M 'I -4 2 m'
_symmetry_Int_Tables_number 121
_symmetry_space_group_name_Hall 'I -4 2'
loop_
_atom_site_label
_atom_site_fract_x
_atom_site_fract_y
_atom_site_fract_z
Pm1 0.189 0.189 0.321
Pr1 0.000 0.500 0.000
Pr2 0.179 0.179 0.131
Nd1 0.000 0.000 0.500
```

Stability ranking, top entry: model ii; the second entry is 0.062 eV/atom less favorable.